[1]
BaScCd2: relaxed, GGA-PBE.

Unit cell a=5.421 b=5.421 c=5.421 alpha=60.00 beta=60.00 gamma=60.00
Last column: magnetic moment on the atom in μB.
Positions (direct):
Ba 0.500 0.500 0.500  0.01
Cd 0.000 0.000 0.000  0.00
Cd 0.250 0.250 0.250  0.00
Sc 0.750 0.750 0.750  0.11

Results
- energy above the most stable polymorph in this dataset (meV/atom) = 319
- energy relative to the elements (eV/f.u.) = 0.3



[2]
BaSc2Cd: relaxed, GGA-PBE.

Unit cell a=3.795 b=5.622 c=5.490 alpha=90.00 beta=90.00 gamma=90.00
Positions (direct):
Ba 0.500 0.000 0.500
Cd 0.000 0.500 0.500
Sc 0.000 0.000 0.000
Sc 0.500 0.500 0.000

Results
- energy relative to the elements (eV/f.u.) = 0.8



[3]
BaScCd2: relaxed, GGA-PBE.

Unit cell a=5.358 b=5.358 c=11.009 alpha=75.92 beta=75.92 gamma=90.00
Last column: magnetic moment on the atom in μB.
Positions (direct):
Sc 0.500 0.500 0.000  0.34
Sc 0.250 0.750 0.500  0.33
Ba 0.000 0.000 0.000  0.04
Ba 0.750 0.250 0.500  0.04
Cd 0.486 0.125 0.250  0.02
Cd 0.264 0.625 0.250  0.02
Cd 0.375 0.514 0.750  0.02
Cd 0.875 0.736 0.750  0.01

Results
- energy above the most stable polymorph in this dataset (meV/atom) = 441
- energy relative to the elements (eV/f.u.) = 0.8



[4]
BaScCd: relaxed, GGA-PBE.

Unit cell a=5.437 b=5.437 c=5.437 alpha=60.00 beta=60.00 gamma=60.00
Positions (direct):
Ba 0.750 0.750 0.750
Cd 0.000 0.000 0.000
Sc 0.500 0.500 0.500

Results
- energy above the most stable polymorph in this dataset (meV/atom) = 810
- energy relative to the elements (eV/f.u.) = 2.1



[5]
BaScCd4: relaxed, GGA-PBE.

Unit cell a=6.070 b=6.070 c=6.070 alpha=60.00 beta=60.00 gamma=60.00
Positions (direct):
Ba 0.000 0.000 0.000
Sc 0.750 0.750 0.750
Cd 0.872 0.376 0.376
Cd 0.376 0.376 0.872
Cd 0.376 0.872 0.376
Cd 0.376 0.376 0.376

Results
- energy relative to the elements (eV/f.u.) = -0.9



[6]
BaSc2Cd: relaxed, GGA-PBE.

Unit cell a=5.188 b=3.580 c=6.695 alpha=76.58 beta=90.00 gamma=90.00
Positions (direct):
Ba 0.500 0.250 0.250
Cd 0.500 0.750 0.750
Sc 0.000 0.927 0.951
Sc 0.000 0.573 0.549

Results
- energy relative to the elements (eV/f.u.) = 0.7



[7]
BaSc2Cd: relaxed, GGA-PBE.

Unit cell a=6.744 b=6.744 c=5.801 alpha=64.59 beta=64.59 gamma=30.78
Last column: magnetic moment on the atom in μB.
Positions (direct):
Ba 0.250 0.250 0.250  0.01
Cd 0.750 0.750 0.750  0.00
Sc 0.035 0.035 0.965  0.09
Sc 0.465 0.465 0.535  0.09

Results
- energy relative to the elements (eV/f.u.) = 0.4



[8]
BaSc2Cd: relaxed, GGA-PBE.

Unit cell a=5.720 b=5.720 c=6.572 alpha=80.94 beta=80.94 gamma=35.91
Positions (direct):
Ba 0.492 0.492 0.511
Cd 0.739 0.739 0.812
Sc 0.003 0.003 0.008
Sc 0.266 0.266 0.170

Results
- energy relative to the elements (eV/f.u.) = 0.7



[9]
BaScCd17: relaxed, GGA-PBE.

Unit cell a=7.753 b=7.753 c=7.753 alpha=81.89 beta=81.89 gamma=81.89
Positions (direct):
Ba 0.666 0.666 0.666
Sc 0.321 0.321 0.321
Cd 0.294 0.004 0.701
Cd 0.701 0.294 0.004
Cd 0.004 0.701 0.294
Cd 0.294 0.701 0.004
Cd 0.004 0.294 0.701
Cd 0.701 0.004 0.294
Cd 0.350 0.885 0.350
Cd 0.350 0.350 0.885
Cd 0.885 0.350 0.350
Cd 0.609 0.210 0.609
Cd 0.609 0.609 0.210
Cd 0.210 0.609 0.609
Cd 0.978 0.525 0.978
Cd 0.978 0.978 0.525
Cd 0.525 0.978 0.978
Cd 0.912 0.912 0.912
Cd 0.109 0.109 0.109

Results
- energy relative to the elements (eV/f.u.) = -1.9



[10]
BaScCd: relaxed, GGA-PBE.

Unit cell a=5.038 b=5.038 c=8.148 alpha=90.00 beta=90.00 gamma=90.00
Positions (direct):
Ba 0.000 0.500 0.854
Ba 0.500 0.000 0.146
Cd 0.000 0.500 0.299
Cd 0.500 0.000 0.701
Sc 0.500 0.500 0.500
Sc 0.000 0.000 0.500

Results
- energy above the most stable polymorph in this dataset (meV/atom) = 0
- energy relative to the elements (eV/f.u.) = -0.3



[11]
BaScCd2: relaxed, GGA-PBE.

Unit cell a=6.047 b=6.047 c=6.047 alpha=132.53 beta=132.53 gamma=69.39
Positions (direct):
Ba 0.750 0.250 0.500
Cd 0.000 0.000 0.000
Cd 0.250 0.750 0.500
Sc 0.500 0.500 0.000

Results
- energy above the most stable polymorph in this dataset (meV/atom) = 305
- energy relative to the elements (eV/f.u.) = 0.3



[12]
Ba2Sc2Cd: relaxed, GGA-PBE.

Unit cell a=7.782 b=7.782 c=5.924 alpha=90.00 beta=90.00 gamma=90.00
Last column: magnetic moment on the atom in μB.
Positions (direct):
Sc 0.356 0.856 0.000  0.05
Sc 0.856 0.644 0.000  0.05
Sc 0.644 0.144 0.000  0.05
Sc 0.144 0.356 0.000  0.05
Ba 0.176 0.676 0.500  -0.01
Ba 0.676 0.824 0.500  -0.02
Ba 0.824 0.324 0.500  -0.01
Ba 0.324 0.176 0.500  -0.02
Cd 0.000 0.000 0.000  0.01
Cd 0.500 0.500 0.000  0.01

Results
- energy relative to the elements (eV/f.u.) = 1.1



no.,uncorrected energy (Ry/atom)
1,-0.1790
2,-0.2703
3,-0.1700
4,-0.1726
5,-0.1567
6,-0.2720
7,-0.2775
8,-0.2726
9,-0.0995
10,-0.2322
11,-0.1800
12,-0.2397